A relaxed PmPrSm2Y5 crystal. Source: Alexandria, functional GGA-PBE.

POSCAR file:
```
PmPrSm2Y5
1.0
8.7514 0.0000 0.0000
0.0000 8.7514 0.0000
-4.3757 -4.3757 7.8245
Pm Pr Sm Y
2 2 4 10
Direct
0.2500 0.2500 0.5000
0.7500 0.7500 0.5000
0.2500 0.7500 0.5000
0.7500 0.2500 0.5000
0.1173 0.3827 0.0000
0.6173 0.1173 0.0000
0.3827 0.8827 0.0000
0.8827 0.6173 0.0000
0.9295 0.4295 0.2715
0.6580 0.1580 0.7285
0.0705 0.5705 0.7285
0.1580 0.0705 0.7285
0.5705 0.6580 0.7285
0.8420 0.9295 0.2715
0.4295 0.3420 0.2715
0.3420 0.8420 0.2715
0.5000 0.5000 0.0000
0.0000 0.0000 0.0000
```

V: 33.3 A^3/atom
energy: -5.46 eV per atom
symmetry: No. 140